Entry 1:
Density functional theory data (GGA-PBE) for an optimized crystal structure of Ce2NdPa.

For the total energy, the calculation gives -6.4458 eV per atom. The value obtained for the density of states at the Fermi level is 9.41 states/eV/f.u. Its energy above the most stable polymorph in this dataset is 0.000 eV/atom. As for the energy relative to the elements: 0.087 eV per atom.

The structure belongs to space group P4/mmm (No. 123); the cell edges are 3.371, 3.371 and 10.010 Å and the angles 90.00°, 90.00° and 90.00°. The asymmetric unit holds Ce at (0.000, 0.000, 0.228), Nd at (0.500, 0.500, 0.500) and Pa at (0.500, 0.500, 0.000).

***

Entry 2:
Density functional theory data (GGA-PBE) for an optimized crystal structure of CeNdPa2.

For the total energy, the calculation gives -7.2303 eV per atom. The value obtained for the density of states at the Fermi level is 8.23 states/eV/f.u. Its energy above the most stable polymorph in this dataset is 0.000 eV/atom. As for the energy relative to the elements: 0.193 eV per atom.

The structure belongs to space group P4/mmm (No. 123); the cell edges are 3.221, 3.221 and 10.349 Å and the angles 90.00°, 90.00° and 90.00°. The asymmetric unit holds Ce at (0.000, 0.000, 0.000), Nd at (0.000, 0.000, 0.500) and Pa at (0.500, 0.500, 0.237).

***

Entry 3:
Density functional theory data (GGA-PBE) for an optimized crystal structure of Ce2NdPa.

For the total energy, the calculation gives -6.1638 eV per atom. The value obtained for the density of states at the Fermi level is 13.76 states/eV/f.u. Its energy above the most stable polymorph in this dataset is 0.282 eV/atom. As for the energy relative to the elements: 0.369 eV per atom.

The structure belongs to space group Fm-3m (No. 225); the cell edges are 7.654, 7.654 and 7.654 Å and the angles 90.00°, 90.00° and 90.00°. The asymmetric unit holds Ce at (0.250, 0.250, 0.250), Nd at (0.000, 0.000, 0.000) and Pa at (0.000, 0.000, 0.500).

***

Entry 4:
Density functional theory data (GGA-PBE) for an optimized crystal structure of CeNdPa2.

For the total energy, the calculation gives -7.1913 eV per atom. The value obtained for the density of states at the Fermi level is 9.21 states/eV/f.u. Its energy above the most stable polymorph in this dataset is 0.039 eV/atom. As for the energy relative to the elements: 0.232 eV per atom.

The structure belongs to space group P4/mmm (No. 123); the cell edges are 4.639, 4.639 and 5.024 Å and the angles 90.00°, 90.00° and 90.00°. The asymmetric unit holds Ce at (0.000, 0.000, 0.000), Nd at (0.500, 0.500, 0.000) and Pa at (0.000, 0.500, 0.500).

***

Entry 5:
Density functional theory data (GGA-PBE) for an optimized crystal structure of Ce2NdPa.

For the total energy, the calculation gives -5.8668 eV per atom. The value obtained for the density of states at the Fermi level is 11.01 states/eV/f.u. Its energy above the most stable polymorph in this dataset is 0.579 eV/atom. As for the energy relative to the elements: 0.666 eV per atom.

The structure belongs to space group R-3m (No. 166, hexagonal axes); the cell edges are 3.8367, 3.8367 and 29.6205 Å and the angles 90.00°, 90.00° and 120.00°. The asymmetric unit holds Ce at (0.0000, 0.0000, 0.1120), Nd at (0.0000, 0.0000, 0.0000) and Pa at (0.0000, 0.0000, 0.5000).

***

Entry 6:
Density functional theory data (GGA-PBE) for an optimized crystal structure of Ce2NdPa.

For the total energy, the calculation gives -6.3363 eV per atom. The value obtained for the density of states at the Fermi level is 9.85 states/eV/f.u. Its energy above the most stable polymorph in this dataset is 0.110 eV/atom. As for the energy relative to the elements: 0.197 eV per atom.

The structure belongs to space group P4/mmm (No. 123); the cell edges are 4.842, 4.842 and 4.721 Å and the angles 90.00°, 90.00° and 90.00°. The asymmetric unit holds Ce at (0.000, 0.500, 0.000), Nd at (0.000, 0.000, 0.500) and Pa at (0.500, 0.500, 0.500).

***

Entry 7:
Density functional theory data (GGA-PBE) for an optimized crystal structure of CePmNdPa.

For the total energy, the calculation gives -5.8281 eV per atom. The value obtained for the density of states at the Fermi level is 14.84 states/eV/f.u. As for the energy relative to the elements: 0.409 eV per atom.

The structure belongs to space group F-43m (No. 216); the cell edges are 7.891, 7.891 and 7.891 Å and the angles 90.00°, 90.00° and 90.00°. The asymmetric unit holds Ce at (0.000, 0.000, 0.000), Pm at (0.000, 0.000, 0.500), Nd at (0.250, 0.250, 0.250) and Pa at (0.250, 0.250, 0.750).

***

Entry 8:
Density functional theory data (GGA-PBE) for an optimized crystal structure of CeNd2PaS8.

For the total energy, the calculation gives -6.5187 eV per atom. The value obtained for the density of states at the Fermi level is 5.27 states/eV/f.u. The calculation puts the formation energy (no corrections) at -162.7 kJ per mole of atoms.

The structure belongs to space group P2/m (No. 10); the cell edges are 4.637, 6.760 and 9.248 Å and the angles 90.00°, 90.15° and 90.00°. The asymmetric unit holds Ce at (0.000, 0.000, 0.000), Nd at (0.500, 0.500, 0.247), Pa at (0.000, 0.000, 0.500), S at (0.000, 0.238, 0.258), S at (0.500, 0.232, 0.500) and S at (0.500, 0.242, 0.000).

***

Entry 9:
Density functional theory data (GGA-PBE) for an optimized crystal structure of CeNd2PaSb5.

For the total energy, the calculation gives -5.2808 eV per atom. The value obtained for the density of states at the Fermi level is 9.88 states/eV/f.u. The calculation puts the formation energy (no corrections) at -20.9 kJ per mole of atoms.

The structure belongs to space group P4/mmm (No. 123); the cell edges are 5.490, 5.490 and 11.738 Å and the angles 90.00°, 90.00° and 90.00°. The asymmetric unit holds Ce at (0.000, 0.000, 0.000), Nd at (0.500, 0.500, 0.282), Pa at (0.000, 0.000, 0.500), Sb at (0.000, 0.000, 0.249), Sb at (0.000, 0.500, 0.500) and Sb at (0.500, 0.500, 0.000).

***

Entry 10:
Density functional theory data (GGA-PBE) for an optimized crystal structure of Ce2NdPaSb5.

For the total energy, the calculation gives -5.2107 eV per atom. The value obtained for the density of states at the Fermi level is 19.26 states/eV/f.u. The calculation puts the formation energy (no corrections) at -1.6 kJ per mole of atoms.

The structure belongs to space group P4/mmm (No. 123); the cell edges are 5.439, 5.439 and 11.682 Å and the angles 90.00°, 90.00° and 90.00°. The asymmetric unit holds Ce at (0.000, 0.000, 0.189), Nd at (0.500, 0.500, 0.000), Pa at (0.500, 0.500, 0.500), Sb at (0.000, 0.000, 0.500), Sb at (0.000, 0.500, 0.000) and Sb at (0.500, 0.500, 0.257).

***

Entry 11:
Density functional theory data (GGA-PBE) for an optimized crystal structure of Ce2NdPaSb4.

For the total energy, the calculation gives -6.2558 eV per atom. The value obtained for the density of states at the Fermi level is 19.10 states/eV/f.u. The calculation puts the formation energy (no corrections) at -89.6 kJ per mole of atoms.

The structure belongs to space group P2/m (No. 10); the cell edges are 7.746, 4.468 and 7.755 Å and the angles 90.00°, 109.38° and 90.00°. The asymmetric unit holds Ce at (0.000, 0.000, 0.000), Ce at (0.000, 0.500, 0.500), Nd at (0.500, 0.000, 0.500), Pa at (0.500, 0.500, 0.000), Sb at (0.252, 0.500, 0.245) and Sb at (0.256, 0.000, 0.757).

***

Entry 12:
Density functional theory data (GGA-PBE) for an optimized crystal structure of CeNdPaSi.

For the total energy, the calculation gives -6.2584 eV per atom. The value obtained for the density of states at the Fermi level is 8.39 states/eV/f.u. The calculation puts the formation energy (no corrections) at 14.2 kJ per mole of atoms.

The structure belongs to space group F-43m (No. 216); the cell edges are 7.369, 7.369 and 7.369 Å and the angles 90.00°, 90.00° and 90.00°. The asymmetric unit holds Ce at (0.000, 0.000, 0.000), Nd at (0.000, 0.000, 0.500), Pa at (0.250, 0.250, 0.250) and Si at (0.250, 0.250, 0.750).